# 1
First-principles (PBE-GGA) data for an optimized crystal structure of MnInI2Cl, as listed in Alexandria via LeMat-Bulk.

a = 5.8607 Å, b = 5.8607 Å, c = 4.8463 Å
α = 90.00°, β = 90.00°, γ = 90.00°
With the nearest neighbours (Å) after each atom.
Element x y z (fractional)
1 Mn 0.0000 0.0000 0.0000  2 Cl 2.42
2 In 0.5000 0.5000 0.5000  8 I 3.80, 4 Cl 4.14
3 I 0.0000 0.5000 0.0000  2 Mn 2.93
4 I 0.5000 0.0000 0.0000  2 Mn 2.93
5 Cl 0.0000 0.0000 0.5000  2 Mn 2.42

Calculated values
The formation energy (no corrections) is -0.551 eV/atom. The calculation puts the size of the total moment at 1.000 μB per atom. The space group is No. 123. Its raw total energy is -3.922 eV/atom.



# 2
First-principles (PBE-GGA) data for an optimized crystal structure of SrZrAlN3, as listed in Alexandria via LeMat-Bulk.

a = 7.2050 Å, b = 3.3650 Å, c = 7.8183 Å
α = 90.00°, β = 102.02°, γ = 90.00°
With the nearest neighbours (Å) after each atom.
Element x y z (fractional)
1 Sr 0.1837 0.2500 0.2083  5 N 2.64-2.83
2 Sr 0.8163 0.7500 0.7917  5 N 2.64-2.83
3 Zr 0.3472 0.7500 0.8671  5 N 2.07-2.29
4 Zr 0.6528 0.2500 0.1329  5 N 2.07-2.29
5 Al 0.1030 0.2500 0.6008  4 N 1.88-1.96
6 Al 0.8970 0.7500 0.3992  4 N 1.88-1.96
7 N 0.1384 0.2500 0.8456  1 Al 1.88
8 N 0.1648 0.7500 0.5171  3 Al 1.89-1.96
9 N 0.4384 0.7500 0.1360  3 Zr 2.07-2.29
10 N 0.5616 0.2500 0.8640  3 Zr 2.07-2.29
11 N 0.8352 0.2500 0.4829  3 Al 1.89-1.96
12 N 0.8616 0.7500 0.1544  1 Al 1.88

Calculated values
The formation energy (no corrections) is -1.205 eV/atom. The calculation puts the size of the total moment at 0.000 μB per atom. The space group is No. 11. The calculation puts the density of states at the Fermi level at 0.00 states/eV/atom. Its raw total energy is -7.697 eV/atom.



# 3
First-principles (PBE-GGA) data for an optimized crystal structure of Mo2PBr, as listed in Alexandria via LeMat-Bulk.

a = 2.9072 Å, b = 4.1152 Å, c = 5.7984 Å
α = 90.00°, β = 90.00°, γ = 90.00°
With the nearest neighbours (Å) after each atom.
Element x y z (fractional)
1 Mo 0.0000 0.0000 0.0000  4 Br 2.52
2 Mo 0.5000 0.0000 0.5000  4 P 2.52
3 P 0.0000 0.5000 0.5000  4 Mo 2.52
4 Br 0.5000 0.5000 0.0000  4 Mo 2.52

Calculated values
The formation energy (no corrections) is 0.762 eV/atom. The calculation puts the size of the total moment at 0.003 μB per atom. Its offset from the most stable computed form is 720 meV per atom. The space group is No. 47. The calculation puts the density of states at the Fermi level at 1.11 states/eV/atom. Its raw total energy is -6.425 eV/atom.



# 4
First-principles (PBE-GGA) data for an optimized crystal structure of CaMg7Al5, as listed in Alexandria via LeMat-Bulk.

a = 7.5803 Å, b = 7.5803 Å, c = 7.5803 Å
α = 136.81°, β = 98.30°, γ = 97.27°
With the nearest neighbours (Å) after each atom.
Element x y z (fractional)
1 Ca 0.0000 0.0000 0.0000  10 Mg 3.45-3.62, 6 Al 3.50-3.70
2 Mg 0.1974 0.4913 0.7061  5 Al 2.89-3.00, 3 Mg 3.02-3.14
3 Mg 0.3397 0.9891 0.3506  4 Mg 2.96-3.17, 5 Al 3.01-3.15
4 Mg 0.3446 0.3446 0.0000  3 Mg 2.97-3.26, 6 Al 2.99-3.09
5 Mg 0.6385 0.9891 0.6494  4 Mg 2.96-3.17, 5 Al 3.01-3.15
6 Mg 0.6409 0.6409 0.0000  5 Mg 2.97-3.28, 4 Al 3.05
7 Mg 0.7692 0.2692 0.5000  4 Al 2.90, 6 Mg 3.02-3.17
8 Mg 0.7853 0.4913 0.2939  5 Al 2.89-3.00, 3 Mg 3.02-3.14
9 Al 0.2112 0.7112 0.5000  4 Al 2.82, 6 Mg 3.00-3.15
10 Al 0.4858 0.4901 0.4952  3 Al 2.79-2.82, 7 Mg 2.89-3.06
11 Al 0.4858 0.9906 0.9957  3 Al 2.79-2.82, 7 Mg 2.89-3.06
12 Al 0.9949 0.4901 0.0043  3 Al 2.79-2.82, 7 Mg 2.89-3.06
13 Al 0.9949 0.9906 0.5048  3 Al 2.79-2.82, 7 Mg 2.89-3.06

Calculated values
As for the energy of formation from the pure elements: -0.07 eV per atom. The calculation puts the size of the total moment at 0.000 μB per atom. The space group is No. 44. The calculation puts the density of states at the Fermi level at 0.34 states/eV/atom. Its raw total energy is -2.525 eV/atom.



Which value of size of the total moment does entry 1 give? 1.000 μB per atom



Look up the size of the total moment of the first one. 1.000 μB per atom



The lowest raw total energy belongs to which entry? SrZrAlN3



Please write out number 1 again, unchanged.
First-principles (PBE-GGA) data for an optimized crystal structure of MnInI2Cl, as listed in Alexandria via LeMat-Bulk.

a = 5.8607 Å, b = 5.8607 Å, c = 4.8463 Å
α = 90.00°, β = 90.00°, γ = 90.00°
With the nearest neighbours (Å) after each atom.
Element x y z (fractional)
1 Mn 0.0000 0.0000 0.0000  2 Cl 2.42
2 In 0.5000 0.5000 0.5000  8 I 3.80, 4 Cl 4.14
3 I 0.0000 0.5000 0.0000  2 Mn 2.93
4 I 0.5000 0.0000 0.0000  2 Mn 2.93
5 Cl 0.0000 0.0000 0.5000  2 Mn 2.42

Calculated values
The formation energy (no corrections) is -0.551 eV/atom. The calculation puts the size of the total moment at 1.000 μB per atom. The space group is No. 123. Its raw total energy is -3.922 eV/atom.